Entry from Alexandria: La5Hg4Rh after structural relaxation (PBE).

abc: 3.8130 3.8130 19.5664
angles: 90.00 90.00 90.00
Last column: nearest neighbours and their distance in Å.
Element x y z (fractional)
La (0.0000, 0.0000, 0.0000)  8 Hg 3.37
La (0.0000, 0.0000, 0.2074)  8 Hg 3.34-3.38
La (0.0000, 0.0000, 0.4173)  4 Rh 3.14, 1 La 3.24, 4 Hg 3.44
La (0.0000, 0.0000, 0.5827)  4 Rh 3.14, 1 La 3.24, 4 Hg 3.44
La (0.0000, 0.0000, 0.7926)  8 Hg 3.34-3.38
Hg (0.5000, 0.5000, 0.1032)  8 La 3.37-3.38
Hg (0.5000, 0.5000, 0.3081)  8 La 3.34-3.44
Hg (0.5000, 0.5000, 0.6919)  8 La 3.34-3.44
Hg (0.5000, 0.5000, 0.8968)  8 La 3.37-3.38
Rh (0.5000, 0.5000, 0.5000)  8 La 3.14

Properties
Its formation energy is -533 meV per atom.